VASP calculation (PBE) on an optimized crystal structure of HgOs2Cl.

Properties
Energy above the lowest structure with this stoichiometry ... 1072 meV per atom
SG ... I4/mmm, No. 139
Spin magnetization ... 0.00 μB per cell
Raw formation energy ... 1.425 eV per atom
N(E_F) ... 4.113 states/eV per cell

abc: 7.194 7.194 7.194
angles: 151.10 151.10 41.32
Element x y z (fractional)
Os1 0.500 0.500 0.000
Cl1 0.750 0.250 0.500
Os2 0.000 0.000 0.000
Hg1 0.250 0.750 0.500